{"formula": "GaPPd2", "functional": "PBE-GGA", "state": "optimized geometry", "cell": [[0.0000, 3.1014, 3.1014], [3.1014, 0.0000, 3.1014], [3.1014, 3.1014, 0.0000]], "species": ["Ga", "Pd", "Pd", "P"], "frac_coords": [[0.5000, 0.5000, 0.5000], [0.7500, 0.7500, 0.7500], [0.2500, 0.2500, 0.2500], [0.0000, 0.0000, 0.0000]], "sg": "No. 225", "n_ef_per_ev_cell": 2.0, "volume_a3_per_atom": 14.9, "polymorph_energy_kj_per_mol_atoms": 4.8, "total_magnetization_mub_per_fu": 0.0, "e_tot_ev_per_atom": -4.96}